Density functional theory data (PBE) for crystalline MnPdPt6 at its relaxed geometry.

Values from the calculation:
polymorph energy (0 for the lowest one)	0.000	eV/atom
ΔE_f	-4.64	kcal/mol of atoms

Lattice parameters (Å, degrees): 3.9341 3.9341 7.9387 90.00 90.00 90.00
Closest atoms and distances in Å follow each position.
Atoms (fractional coordinates):
Pt (0.5000, 0.0000, 0.7443)  8 Pt 2.76-2.83, 2 Mn 2.76, 2 Pd 2.83
Pt (0.5000, 0.5000, 0.5000)  8 Pt 2.76, 4 Mn 2.78
Pt (0.5000, 0.0000, 0.2557)  8 Pt 2.76-2.83, 2 Mn 2.76, 2 Pd 2.83
Pt (0.0000, 0.5000, 0.7443)  8 Pt 2.76-2.83, 2 Mn 2.76, 2 Pd 2.83
Pt (0.5000, 0.5000, 0.0000)  4 Pd 2.78, 8 Pt 2.83
Pd (0.0000, 0.0000, 0.0000)  12 Pt 2.78-2.83
Mn (0.0000, 0.0000, 0.5000)  12 Pt 2.76-2.78
Pt (0.0000, 0.5000, 0.2557)  8 Pt 2.76-2.83, 2 Mn 2.76, 2 Pd 2.83